Record 1
A relaxed structure of Hf2AgGe2. Source: Alexandria via LeMat-Bulk, functional PBE-GGA.

* energy relative to the elements: -0.40 eV/atom
* size of the total moment: 0.000 μB per formula unit
* SG: P4/mbm (127)
* DFT total energy: -6.80 eV per atom
* distance to the lowest polymorph of the same formula: 0 meV per atom
* density: 11.041 g cm⁻³

Lattice parameters (Å, degrees): 6.8992 6.8992 3.8557 90.00 90.00 90.00
Last column: nearest neighbours and their distance in Å.
Fractional coordinates of all 10 atoms:
Hf 0.1766 0.3234 0.0000  6 Ge 2.72-2.87
Hf 0.3234 0.8234 0.0000  6 Ge 2.72-2.87
Hf 0.6766 0.1766 0.0000  6 Ge 2.72-2.87
Hf 0.8234 0.6766 0.0000  6 Ge 2.72-2.87
Ag 0.0000 0.0000 0.5000  4 Ge 2.72
Ag 0.5000 0.5000 0.5000  4 Ge 2.72
Ge 0.1275 0.6275 0.5000  1 Ge 2.49, 2 Hf 2.72, 2 Ag 2.72
Ge 0.3725 0.1275 0.5000  1 Ge 2.49, 2 Hf 2.72, 2 Ag 2.72
Ge 0.6275 0.8725 0.5000  1 Ge 2.49, 2 Hf 2.72, 2 Ag 2.72
Ge 0.8725 0.3725 0.5000  1 Ge 2.49, 2 Hf 2.72, 2 Ag 2.72

Record 2
A relaxed structure of HfAg2Ge2. Source: Alexandria via LeMat-Bulk, functional PBE-GGA.

* energy relative to the elements: 0.05 eV/atom
* size of the total moment: 0.000 μB per formula unit
* SG: P4/mbm (127)
* DFT total energy: -4.93 eV per atom
* distance to the lowest polymorph of the same formula: 8 meV per atom
* density: 9.600 g cm⁻³

Lattice parameters (Å, degrees): 7.6810 7.6810 3.1635 90.00 90.00 90.00
Last column: nearest neighbours and their distance in Å.
Fractional coordinates of all 10 atoms:
Hf 0.0000 0.0000 0.0000  4 Ge 2.88, 2 Hf 3.16
Hf 0.5000 0.5000 0.0000  4 Ge 2.88, 2 Hf 3.16
Ag 0.1372 0.3628 0.5000  6 Ge 2.69-2.80, 1 Ag 2.98
Ag 0.3628 0.8628 0.5000  6 Ge 2.69-2.80, 1 Ag 2.98
Ag 0.6372 0.1372 0.5000  6 Ge 2.69-2.80, 1 Ag 2.98
Ag 0.8628 0.6372 0.5000  6 Ge 2.69-2.80, 1 Ag 2.98
Ge 0.1627 0.6627 0.0000  6 Ag 2.69-2.80, 2 Hf 2.88
Ge 0.3373 0.1627 0.0000  6 Ag 2.69-2.80, 2 Hf 2.88
Ge 0.6627 0.8373 0.0000  6 Ag 2.69-2.80, 2 Hf 2.88
Ge 0.8373 0.3373 0.0000  6 Ag 2.69-2.80, 2 Hf 2.88

Record 3
A relaxed structure of HfAgGe3. Source: Alexandria via LeMat-Bulk, functional PBE-GGA.

* energy relative to the elements: 0.58 eV/atom
* size of the total moment: 0.000 μB per formula unit
* SG: Pm-3m (221)
* DFT total energy: -4.75 eV per atom
* distance to the lowest polymorph of the same formula: 0 meV per atom
* density: 6.088 g cm⁻³

Lattice parameters (Å, degrees): 5.1620 5.1620 5.1620 90.00 90.00 90.00
Last column: nearest neighbours and their distance in Å.
Fractional coordinates of all 5 atoms:
Hf 0.0000 0.0000 0.0000  6 Ge 2.58
Ag 0.5000 0.5000 0.5000  12 Ge 3.65
Ge 0.0000 0.0000 0.5000  2 Hf 2.58
Ge 0.0000 0.5000 0.0000  2 Hf 2.58
Ge 0.5000 0.0000 0.0000  2 Hf 2.58

Record 4
A relaxed structure of Hf2AgGe. Source: Alexandria via LeMat-Bulk, functional PBE-GGA.

* energy relative to the elements: 0.08 eV/atom
* size of the total moment: 0.000 μB per formula unit
* SG: I-42d (122)
* DFT total energy: -6.76 eV per atom
* density: 10.803 g cm⁻³

Lattice parameters (Å, degrees): 6.0541 6.0541 6.0541 103.89 103.89 121.33
Last column: nearest neighbours and their distance in Å.
Fractional coordinates of all 8 atoms:
Hf 0.1164 0.6250 0.9914  2 Ge 2.70, 2 Ag 2.79, 2 Hf 2.97
Hf 0.3750 0.3664 0.4914  2 Ge 2.70, 2 Ag 2.79, 2 Hf 2.97
Hf 0.6336 0.1250 0.0086  2 Ge 2.70, 2 Ag 2.79, 2 Hf 2.97
Hf 0.8750 0.8836 0.5086  2 Ge 2.70, 2 Ag 2.79, 2 Hf 2.97
Ag 0.2500 0.7500 0.5000  4 Hf 2.79, 2 Ge 2.97
Ag 0.5000 0.5000 0.0000  4 Hf 2.79, 2 Ge 2.97
Ge 0.0000 0.0000 0.0000  4 Hf 2.70, 2 Ag 2.97
Ge 0.7500 0.2500 0.5000  4 Hf 2.70, 2 Ag 2.97

Record 5
A relaxed structure of Hf3AgGe. Source: Alexandria via LeMat-Bulk, functional PBE-GGA.

* energy relative to the elements: 0.47 eV/atom
* size of the total moment: 0.000 μB per formula unit
* SG: Pm-3m (221)
* DFT total energy: -6.99 eV per atom
* distance to the lowest polymorph of the same formula: 0 meV per atom
* density: 9.843 g cm⁻³

Lattice parameters (Å, degrees): 4.9431 4.9431 4.9431 90.00 90.00 90.00
Last column: nearest neighbours and their distance in Å.
Fractional coordinates of all 5 atoms:
Hf 0.0000 0.0000 0.5000  2 Ge 2.47
Hf 0.0000 0.5000 0.0000  2 Ge 2.47
Hf 0.5000 0.0000 0.0000  2 Ge 2.47
Ag 0.5000 0.5000 0.5000  12 Hf 3.50
Ge 0.0000 0.0000 0.0000  6 Hf 2.47

Record 6
A relaxed structure of Hf2Ag2Ge. Source: Alexandria via LeMat-Bulk, functional PBE-GGA.

* energy relative to the elements: 0.13 eV/atom
* size of the total moment: 0.000 μB per formula unit
* SG: P4/mbm (127)
* DFT total energy: -5.91 eV per atom
* distance to the lowest polymorph of the same formula: 0 meV per atom
* density: 10.181 g cm⁻³

Lattice parameters (Å, degrees): 7.1439 7.1439 4.1251 90.00 90.00 90.00
Last column: nearest neighbours and their distance in Å.
Fractional coordinates of all 10 atoms:
Hf 0.1592 0.3408 0.0000  2 Ge 2.69, 6 Ag 2.90-2.97
Hf 0.3408 0.8408 0.0000  2 Ge 2.69, 6 Ag 2.90-2.97
Hf 0.6592 0.1592 0.0000  2 Ge 2.69, 6 Ag 2.90-2.97
Hf 0.8408 0.6592 0.0000  2 Ge 2.69, 6 Ag 2.90-2.97
Ag 0.1393 0.6393 0.5000  1 Ag 2.82, 6 Hf 2.90-2.97
Ag 0.3607 0.1393 0.5000  1 Ag 2.82, 6 Hf 2.90-2.97
Ag 0.6393 0.8607 0.5000  1 Ag 2.82, 6 Hf 2.90-2.97
Ag 0.8607 0.3607 0.5000  1 Ag 2.82, 6 Hf 2.90-2.97
Ge 0.0000 0.0000 0.0000  4 Hf 2.69
Ge 0.5000 0.5000 0.0000  4 Hf 2.69